Sr3Zn2P2H4 | PBE | relaxed Values from VASP.

Values from the calculation:
- N(E_F): 0.205 states/eV per atom
- E: -3.294 eV/atom

Structure (Quantum ESPRESSO input):
```
&SYSTEM
  ibrav = 0, nat = 11, ntyp = 4
/
ATOMIC_SPECIES
P 30.97 P.upf
H 1.01 H.upf
Sr 87.62 Sr.upf
Zn 65.41 Zn.upf
ATOMIC_POSITIONS angstrom
P 2.087 2.087 4.326
P 0.000 0.000 7.550
H 2.087 0.000 1.439
H 0.000 2.087 1.439
H 2.087 0.000 10.437
H 0.000 2.087 10.437
Sr 0.000 0.000 4.455
Sr 0.000 0.000 0.000
Sr 2.087 2.087 7.421
Zn 2.087 2.087 2.015
Zn 0.000 0.000 9.861
CELL_PARAMETERS angstrom
4.174 0.000 0.000
0.000 4.174 0.000
-2.087 -2.087 11.876
```